No. 1
A relaxed structure of Rb3U2Se8, computed with PBE-GGA.

Summary:
E_form (uncorrected): -859 meV/atom
V: 414 Å³ per cell

abc: 5.7103 8.8631 9.2988
angles: 118.46 90.00 90.00
Site moments in Bohr magnetons follow the coordinates.
Element x y z (fractional)
Rb  0.5000  0.0000  0.0000  0.00
Se  0.5000  0.4225  0.2859  -0.09
Se  0.0000  0.8833  0.7665  -0.02
Se  0.0000  0.2622  0.5245  -0.05
U  0.5000  0.2382  0.4765  1.78
Rb  0.0000  0.6909  0.0000  0.00
Rb  0.0000  0.3091  0.0000  0.00
Se  0.5000  0.1366  0.7141  -0.09
Se  0.0000  0.7378  0.4755  -0.05
Se  0.5000  0.5775  0.7141  -0.09
Se  0.0000  0.1167  0.2335  -0.02
Se  0.5000  0.8634  0.2859  -0.09
U  0.5000  0.7618  0.5235  1.78

No. 2
A relaxed structure of Ho2AlRu, computed with PBE-GGA.

Summary:
Calculated formation energy: -0.3746 eV per atom
V: 85 Å³ per cell

abc: 4.9323 4.9323 4.9323
angles: 60.00 60.00 60.00
Element x y z (fractional)
Ho  0.0000  0.0000  0.0000
Ho  0.5000  0.5000  0.5000
Al  0.2500  0.2500  0.2500
Ru  0.7500  0.7500  0.7500